[1]
Here is a relaxed structure of Rh3S2 from Alexandria. Energies are from PBE-GGA.

Unit cell a=6.2741 b=6.2741 c=13.2178 alpha=90.00 beta=90.00 gamma=120.00
Closest atoms and distances in Å follow each position.
Space group R-3c (No. 167, hexagonal axes)
Unique sites:
Rh 0.0000 0.2637 0.2500 x18  4 S 2.39
S 0.0000 0.0000 0.1194 x12  6 Rh 2.39

Raw formation energy in eV/atom: -0.177
ρ in g/cm3: 8.244

=====

[2]
Here is a relaxed structure of Rb2CdCu2 from Alexandria. Energies are from PBE-GGA.

Unit cell a=3.5881 b=3.5881 c=23.5937 alpha=90.00 beta=90.00 gamma=90.00
Closest atoms and distances in Å follow each position.
Space group I4/mmm (No. 139)
Unique sites:
Rb 0.0000 0.0000 0.1260 x4  4 Cu 3.43, 4 Rb 3.59
Cd 0.0000 0.0000 0.5000 x2  4 Cd 3.59, 8 Rb 3.91
Cu 0.0000 0.5000 0.2500 x4  4 Cu 2.54

Formation energy in eV per atom: 0.302
Offset from the most stable computed form in eV per atom: 0.000
ρ in g/cm3: 4.488

=====

[3]
Here is a relaxed structure of V2CrS4 from Alexandria. Energies are from PBE-GGA.

Unit cell a=12.4325 b=3.2759 c=5.8517 alpha=90.00 beta=115.48 gamma=90.00
Closest atoms and distances in Å follow each position.
Space group C2/m (No. 12)
Unique sites:
V 0.2416 0.0000 0.1835 x4  6 S 2.31-2.56
Cr 0.0000 0.5000 0.5000 x2  6 S 2.39-2.42
S 0.1085 0.5000 0.9496 x4  3 V 2.31, 1 Cr 2.39
S 0.1395 0.0000 0.4806 x4  2 Cr 2.42, 3 V 2.50-2.56

Offset from the most stable computed form in eV per atom: 0.000
Raw formation energy in eV/atom: -0.902
ρ in g/cm3: 4.355

=====

[4]
Here is a relaxed structure of Tm8Zn2Pd from Alexandria. Energies are from PBE-GGA.

Unit cell a=17.3149 b=5.0311 c=6.7166 alpha=90.00 beta=105.90 gamma=90.00
Closest atoms and distances in Å follow each position.
Space group C2/m (No. 12)
Unique sites:
Tm 0.0273 0.0000 0.2784 x4  1 Zn 2.89, 2 Pd 3.03
Tm 0.0914 0.5000 0.9480 x4  1 Pd 2.99, 2 Zn 3.29, 2 Tm 3.34
Tm 0.1620 0.5000 0.4688 x4  3 Zn 2.85-3.10, 1 Pd 2.87
Tm 0.2017 0.0000 0.8177 x4  1 Zn 2.81
Zn 0.1872 0.0000 0.2246 x4  5 Tm 2.81-3.10
Pd 0.0000 0.5000 0.5000 x2  8 Tm 2.87-3.03

Formation energy in eV per atom: -0.258
ρ in g/cm3: 9.376

=====

[5]
Here is a relaxed structure of AsP4Pb from Alexandria. Energies are from PBE-GGA.

Unit cell a=8.0735 b=8.0735 c=8.0735 alpha=90.00 beta=90.00 gamma=90.00
Closest atoms and distances in Å follow each position.
Space group F-43m (No. 216)
Unique sites:
As 0.0000 0.0000 0.0000 x4  12 P 3.30, 4 Pb 3.50
P 0.1516 0.1516 0.6516 x16  3 P 2.25
Pb 0.2500 0.2500 0.2500 x4  12 P 3.43, 4 As 3.50

Formation energy in eV per atom: 0.500
ρ in g/cm3: 5.125

=====

[6]
Here is a relaxed structure of Sr2YErSe4 from Alexandria. Energies are from PBE-GGA.

Unit cell a=7.2606 b=4.1979 c=7.4455 alpha=90.00 beta=109.02 gamma=90.00
Closest atoms and distances in Å follow each position.
Space group P2/m (No. 10)
Unique sites:
Sr 0.0000 0.0000 0.0000 x1  6 Se 3.09
Sr 0.5000 0.5000 0.0000 x1  6 Se 3.07
Y 0.0000 0.5000 0.5000 x1  6 Se 2.92
Er 0.5000 0.0000 0.5000 x1  6 Se 2.90
Se 0.2458 0.0000 0.7299 x2  1 Er 2.90, 2 Y 2.92, 3 Sr 3.07-3.09
Se 0.2594 0.5000 0.2716 x2  2 Er 2.90, 1 Y 2.92, 3 Sr 3.07-3.09

Raw formation energy in eV/atom: -1.874
ρ in g/cm3: 5.784

=====

Question: Look up the ρ of the sixth one.
Answer: 5.784 g/cm3

=====

Question: Which of these has the lowest ρ?
Answer: V2CrS4